## A
# Ce8GeOs2 PBE relaxed
# N(E_F)	2.418	states/eV per atom
data_Ce8GeOs2
_chemical_formula_sum 'Ce16 Ge2 Os4'
_space_group_name_H-M_alt 'C 1 2 1'
_space_group_IT_number 5
_space_group_name_Hall 'C 2y'
_cell_length_a 17.2291
_cell_length_b 6.3908
_cell_length_c 5.1584
_cell_angle_alpha 90.00
_cell_angle_beta 107.37
_cell_angle_gamma 90.00
loop_
_atom_site_label
_atom_site_type_symbol
_atom_site_fract_x
_atom_site_fract_y
_atom_site_fract_z
Ce1 Ce 0.0000 0.0000 0.0000
Ce2 Ce 0.0000 0.2273 0.5000
Ce3 Ce 0.0859 0.7001 0.5858
Ce4 Ce 0.1842 0.3351 0.1834
Ce5 Ce 0.2274 0.9094 0.2267
Ge1 Ge 0.0000 0.5075 0.0000
Os1 Os 0.1551 0.0757 0.6540

## B
# Ce8GeOs2 PBE relaxed
# N(E_F)	2.380	states/eV per atom
data_Ce8GeOs2
_chemical_formula_sum 'Ce16 Ge2 Os4'
_space_group_name_H-M_alt 'C 1 2/m 1'
_space_group_IT_number 12
_space_group_name_Hall '-C 2y'
_cell_length_a 8.3875
_cell_length_b 13.3010
_cell_length_c 5.1025
_cell_angle_alpha 90.00
_cell_angle_beta 104.36
_cell_angle_gamma 90.00
loop_
_atom_site_label
_atom_site_type_symbol
_atom_site_fract_x
_atom_site_fract_y
_atom_site_fract_z
Ce1 Ce 0.0000 0.2456 0.0000
Ce2 Ce 0.1070 0.5000 0.8262
Ce3 Ce 0.1761 0.1068 0.5646
Ge1 Ge 0.0000 0.0000 0.0000
Os1 Os 0.0000 0.3121 0.5000

Energy ordering: A at the bottom, the next structure 41 meV per atom above.